Compound: NiCO3
Source: Alexandria via LeMat-Bulk
Functional: GGA+U
Structure: relaxed

Cell and atoms, written as POSCAR:
```
NiCO3
1.0
-3.690 -2.014 1.993
-0.183 -3.793 -4.173
4.062 0.169 2.262
Ni C O
2 2 6
Cartesian
3.879 -3.624 -1.911
2.126 -2.734 1.172
-0.782 -2.374 1.583
0.971 -3.264 -1.500
0.246 -1.813 1.027
-0.057 -3.825 -0.945
-1.914 -2.422 0.953
3.012 -0.874 0.775
2.103 -3.217 -0.870
-2.822 -4.764 -0.692
```

As for the total energy: -6.654 eV per atom.